# 1
PBE-GGA SmScMo2N6, relaxed; total energy = -9.09 eV/atom; formation energy (no corrections) = -824 meV per atom; crystal system = monoclinic
1.0
5.710 -4.792 0.000
5.710 4.792 0.000
-2.720 0.000 5.716
Sm Sc Mo N
2 2 4 12
Direct
0.097 0.903 0.750
0.903 0.097 0.250
0.276 0.724 0.250
0.724 0.276 0.750
0.209 0.378 0.819
0.378 0.209 0.319
0.622 0.791 0.681
0.791 0.622 0.181
0.002 0.226 0.676
0.134 0.624 0.858
0.226 0.002 0.176
0.316 0.393 0.138
0.376 0.866 0.642
0.393 0.316 0.638
0.607 0.684 0.362
0.624 0.134 0.358
0.684 0.607 0.862
0.774 0.998 0.824
0.866 0.376 0.142
0.998 0.774 0.324


# 2
PBE-GGA SrSc2MoN4, relaxed; total energy = -8.42 eV/atom; formation energy (no corrections) = -1115 meV per atom; crystal system = orthorhombic
1.0
1.633 -5.832 0.000
1.633 5.832 0.000
0.000 0.000 11.628
Sr Sc Mo N
2 4 2 8
Direct
0.087 0.913 0.750
0.913 0.087 0.250
0.373 0.627 0.536
0.373 0.627 0.964
0.627 0.373 0.036
0.627 0.373 0.464
0.179 0.821 0.250
0.821 0.179 0.750
0.000 0.000 0.000
0.000 0.000 0.500
0.259 0.741 0.109
0.259 0.741 0.391
0.423 0.577 0.750
0.577 0.423 0.250
0.741 0.259 0.609
0.741 0.259 0.891


# 3
PBE-GGA ScTeMoN2, relaxed; total energy = -6.37 eV/atom; formation energy (no corrections) = 1018 meV per atom; crystal system = tetragonal
1.0
4.187 0.000 0.000
0.000 4.187 0.000
0.000 0.000 5.708
Sc Te Mo N
1 1 1 2
Direct
0.000 0.000 0.000
0.000 0.000 0.500
0.500 0.500 0.500
0.000 0.500 0.000
0.500 0.000 0.000


# 4
PBE-GGA ScTe2MoN, relaxed; total energy = -5.73 eV/atom; formation energy (no corrections) = 623 meV per atom; crystal system = tetragonal
1.0
5.633 0.000 0.000
0.000 5.633 0.000
0.000 0.000 3.889
Sc Te Mo N
1 2 1 1
Direct
0.000 0.000 0.000
0.000 0.500 0.000
0.500 0.000 0.000
0.500 0.500 0.500
0.000 0.000 0.500


# 5
PBE-GGA ScTeMoN2, relaxed; total energy = -7.29 eV/atom; formation energy (no corrections) = 100 meV per atom; crystal system = tetragonal
1.0
3.995 0.000 0.000
0.000 3.995 0.000
0.000 0.000 5.549
Sc Te Mo N
1 1 1 2
Direct
0.000 0.000 0.000
0.500 0.500 0.000
0.500 0.500 0.500
0.000 0.500 0.500
0.500 0.000 0.500


# 6
PBE-GGA ScTe2MoN, relaxed; total energy = -6.44 eV/atom; formation energy (no corrections) = -82 meV per atom; crystal system = tetragonal
1.0
5.483 0.000 0.000
0.000 5.483 0.000
0.000 0.000 3.801
Sc Te Mo N
1 2 1 1
Direct
0.000 0.000 0.000
0.000 0.500 0.500
0.500 0.000 0.500
0.500 0.500 0.500
0.500 0.500 0.000